# 1
A relaxed structure of Ir2PbSe. Source: Alexandria, functional GGA-PBE.

a b c (Å): 3.0491 3.9034 6.5907
angles (deg): 90.00 90.00 90.00
Last column: nearest neighbours and their distance in Å.
Element x y z (fractional)
Ir  0.0000  0.0000  0.0000  4 Se 2.62, 4 Ir 2.92
Ir  0.5000  0.5000  0.2357  1 Se 2.41
Pb  0.0000  0.0000  0.4636  5 Ir 2.90-3.06, 2 Pb 3.05
Se  0.5000  0.5000  0.8696  5 Ir 2.41-2.62

Properties
M_tot, μB per formula unit: 0.0

---

# 2
A relaxed structure of IrPbSe2. Source: Alexandria, functional GGA-PBE.

a b c (Å): 3.3759 3.3759 8.4514
angles (deg): 90.00 90.00 90.00
Last column: nearest neighbours and their distance in Å.
Element x y z (fractional)
Ir  0.0000  0.0000  0.0000  4 Se 2.56
Pb  0.5000  0.5000  0.2930  4 Se 2.97
Se  0.0000  0.0000  0.5018  4 Pb 2.97
Se  0.5000  0.5000  0.8897  4 Ir 2.56

Properties
M_tot, μB per formula unit: 0.0

---

# 3
A relaxed structure of Ir3PbSe. Source: Alexandria, functional GGA-PBE.

a b c (Å): 4.6869 4.6869 4.6869
angles (deg): 90.00 90.00 90.00
Last column: nearest neighbours and their distance in Å.
Element x y z (fractional)
Ir  0.0000  0.0000  0.5000  2 Se 2.34
Ir  0.0000  0.5000  0.0000  2 Se 2.34
Ir  0.5000  0.0000  0.0000  2 Se 2.34
Pb  0.5000  0.5000  0.5000  12 Ir 3.31
Se  0.0000  0.0000  0.0000  6 Ir 2.34

Properties
M_tot, μB per formula unit: 0.0

---

# 4
A relaxed structure of Ir3PbSe. Source: Alexandria, functional GGA-PBE.

a b c (Å): 5.0032 5.0032 5.0032
angles (deg): 90.00 90.00 90.00
Last column: nearest neighbours and their distance in Å.
Element x y z (fractional)
Ir  0.0000  0.0000  0.5000  2 Pb 2.50
Ir  0.0000  0.5000  0.0000  2 Pb 2.50
Ir  0.5000  0.0000  0.0000  2 Pb 2.50
Pb  0.0000  0.0000  0.0000  6 Ir 2.50
Se  0.5000  0.5000  0.5000  12 Ir 3.54

Properties
M_tot, μB per formula unit: 2.3

---

# 5
A relaxed structure of IrPbSe2. Source: Alexandria, functional GGA-PBE.

a b c (Å): 4.3406 4.3406 8.8012
angles (deg): 90.00 90.00 90.00
Last column: nearest neighbours and their distance in Å.
Element x y z (fractional)
Ir  0.0000  0.0000  0.0000  8 Se 3.07-3.09, 4 Pb 3.09
Ir  0.5000  0.5000  0.5000  8 Se 3.07-3.09, 4 Pb 3.09
Pb  0.0000  0.5000  0.7500  8 Se 3.07-3.09, 4 Ir 3.09
Pb  0.5000  0.0000  0.2500  8 Se 3.07-3.09, 4 Ir 3.09
Se  0.0000  0.0000  0.5000  4 Ir 3.07, 4 Pb 3.09, 4 Se 3.09
Se  0.0000  0.5000  0.2500  4 Pb 3.07, 4 Se 3.09, 4 Ir 3.09
Se  0.5000  0.0000  0.7500  4 Pb 3.07, 4 Se 3.09, 4 Ir 3.09
Se  0.5000  0.5000  0.0000  4 Ir 3.07, 4 Pb 3.09, 4 Se 3.09

Properties
M_tot, μB per formula unit: 0.0

---

# 6
A relaxed structure of Ir2PbSe. Source: Alexandria, functional GGA-PBE.

a b c (Å): 4.0144 4.0169 6.1155
angles (deg): 90.00 90.08 90.00
Last column: nearest neighbours and their distance in Å.
Element x y z (fractional)
Ir  0.0000  0.0000  0.0000  2 Se 2.41
Ir  0.5002  0.5000  0.0003  2 Se 2.41
Pb  0.9997  0.5000  0.6782  4 Ir 2.81
Se  0.5004  0.0000  0.2191  4 Ir 2.41

Properties
M_tot, μB per formula unit: 0.0

---

# 7
A relaxed structure of Ir2PbSe. Source: Alexandria, functional GGA-PBE.

a b c (Å): 3.1772 3.1772 7.2203
angles (deg): 90.00 90.00 90.00
Last column: nearest neighbours and their distance in Å.
Element x y z (fractional)
Ir  0.0000  0.0000  0.2039  4 Se 2.69, 1 Ir 2.94
Ir  0.0000  0.0000  0.7961  4 Se 2.69, 1 Ir 2.94
Pb  0.5000  0.5000  0.5000  8 Ir 3.10, 4 Pb 3.18
Se  0.5000  0.5000  0.0000  8 Ir 2.69

Properties
M_tot, μB per formula unit: 0.0

---

# 8
A relaxed structure of IrPbSe2. Source: Alexandria, functional GGA-PBE.

a b c (Å): 5.7195 8.5162 3.7423
angles (deg): 90.00 90.00 90.00
Last column: nearest neighbours and their distance in Å.
Element x y z (fractional)
Ir  0.0000  0.0000  0.0000  4 Se 2.48
Ir  0.5000  0.5000  0.0000  4 Se 2.48
Pb  0.0000  0.5000  0.0000  2 Ir 2.86
Pb  0.5000  0.0000  0.0000  2 Ir 2.86
Se  0.0000  0.1914  0.5000  2 Ir 2.48
Se  0.0000  0.8086  0.5000  2 Ir 2.48
Se  0.5000  0.3086  0.5000  2 Ir 2.48
Se  0.5000  0.6914  0.5000  2 Ir 2.48

Properties
M_tot, μB per formula unit: 0.0

---

| no. | DFT total energy (eV per cell) | N(E_F) (states/eV/cell) | ΔE_f (raw) (eV/f.u.) |
| --- | --- | --- | --- |
| 1 | -23.688 | 2.82 | 1.23 |
| 2 | -18.759 | 2.71 | 0.78 |
| 3 | -28.662 | 9.00 | 5.11 |
| 4 | -22.053 | 7.19 | 11.72 |
| 5 | -34.407 | 6.05 | 2.33 |
| 6 | -24.598 | 1.79 | 0.32 |
| 7 | -22.799 | 2.72 | 2.12 |
| 8 | -40.193 | 3.40 | -0.56 |